(1)
Computed, not measured: an optimized crystal structure of TbTiPd4 at the PBE level of DFT.

abc: 13.907 13.907 3.920
angles: 90.00 90.00 162.94
Atoms (fractional coordinates):
1 Tb 0.197 0.803 0.000
2 Tb 0.803 0.197 0.000
3 Ti 0.438 0.562 0.500
4 Ti 0.562 0.438 0.500
5 Pd 0.000 0.000 0.500
6 Pd 0.119 0.881 0.500
7 Pd 0.290 0.710 0.500
8 Pd 0.378 0.622 0.000
9 Pd 0.500 0.500 0.000
10 Pd 0.622 0.378 0.000
11 Pd 0.710 0.290 0.500
12 Pd 0.881 0.119 0.500

Values from the calculation:
DOS(E_F) (states/eV/atom): 0.547
ΔE_f (meV/atom): -540
Crystal system: orthorhombic
Space group: Cmmm (65)


(2)
Computed, not measured: an optimized crystal structure of TaPtCl2 at the PBE level of DFT.

abc: 2.925 2.925 9.143
angles: 90.00 90.00 90.00
Atoms (fractional coordinates):
1 Ta 0.000 0.000 0.000
2 Pt 0.000 0.000 0.500
3 Cl 0.500 0.500 0.172
4 Cl 0.500 0.500 0.828

Values from the calculation:
E_form (uncorrected) (kJ/mol of formula units): 73
DOS(E_F) (states/eV/atom): 0.930
Crystal system: tetragonal
Space group: P4/mmm (123)
Relative energy among the computed polymorphs (meV/atom): 853


(3)
Computed, not measured: an optimized crystal structure of Cd2TcHg at the PBE level of DFT.

abc: 10.262 2.956 5.194
angles: 90.00 102.03 90.00
Atoms (fractional coordinates):
1 Cd 0.240 0.000 0.236
2 Cd 0.260 0.500 0.764
3 Cd 0.740 0.500 0.236
4 Cd 0.760 0.000 0.764
5 Tc 0.000 0.500 0.000
6 Tc 0.500 0.000 0.000
7 Hg 0.000 0.000 0.500
8 Hg 0.500 0.500 0.500

Values from the calculation:
DOS(E_F) (states/eV/atom): 0.761
ΔE_f (meV/atom): 427
Crystal system: monoclinic
Space group: C2/m (12)


(4)
Computed, not measured: an optimized crystal structure of Nd12Ho3Tl at the PBE level of DFT.

abc: 5.091 5.091 20.656
angles: 90.00 90.00 90.00
Atoms (fractional coordinates):
1 Nd 0.000 0.000 0.000
2 Nd 0.000 0.000 0.247
3 Nd 0.000 0.000 0.500
4 Nd 0.000 0.000 0.753
5 Nd 0.000 0.500 0.122
6 Nd 0.000 0.500 0.374
7 Nd 0.000 0.500 0.626
8 Nd 0.000 0.500 0.878
9 Nd 0.500 0.000 0.122
10 Nd 0.500 0.000 0.374
11 Nd 0.500 0.000 0.626
12 Nd 0.500 0.000 0.878
13 Ho 0.500 0.500 0.249
14 Ho 0.500 0.500 0.500
15 Ho 0.500 0.500 0.751
16 Tl 0.500 0.500 0.000

Values from the calculation:
DOS(E_F) (states/eV/atom): 1.374
ΔE_f (meV/atom): -33
Crystal system: tetragonal
Space group: P4/mmm (123)


(5)
Computed, not measured: an optimized crystal structure of SrSbCl2 at the PBE level of DFT.

abc: 3.972 6.111 5.494
angles: 90.00 90.00 90.00
Atoms (fractional coordinates):
1 Sr 0.000 0.000 0.000
2 Sb 0.500 0.500 0.046
3 Cl 0.000 0.000 0.501
4 Cl 0.500 0.500 0.491

Values from the calculation:
E_form (uncorrected) (kJ/mol of formula units): -427
DOS(E_F) (states/eV/atom): 0.396
Crystal system: orthorhombic
Space group: Pmm2 (25)
Relative energy among the computed polymorphs (meV/atom): 225


(6)
Computed, not measured: an optimized crystal structure of TmCu2Pb at the PBE level of DFT.

abc: 4.471 4.471 3.944
angles: 90.00 90.00 90.00
Atoms (fractional coordinates):
1 Tm 0.000 0.000 0.000
2 Cu 0.000 0.500 0.500
3 Cu 0.500 0.000 0.500
4 Pb 0.500 0.500 0.000

Values from the calculation:
DOS(E_F) (states/eV/atom): 0.546
ΔE_f (meV/atom): -78
Crystal system: tetragonal
Space group: P4/mmm (123)


Q: The lowest DOS(E_F) belongs to which entry?
A: SrSbCl2